Material: Tb2Ga3
Method: DFT, GGA-PBE
State: optimized geometry

Output
As for the space group: Cmcm, No. 63. The calculated formation energy is -644.8 meV per atom.

Unit cell a=13.0186 b=13.0186 c=4.1786 alpha=90.00 beta=90.00 gamma=161.45
Closest atoms and distances in Å follow each position.
Atoms (fractional coordinates):
Tb 0.0723 0.9277 0.7500  12 Ga 3.19-3.37
Tb 0.2038 0.7962 0.2500  7 Ga 3.03-3.11
Tb 0.7962 0.2038 0.7500  7 Ga 3.03-3.11
Tb 0.9277 0.0723 0.2500  12 Ga 3.19-3.37
Ga 0.3250 0.6750 0.2500  2 Ga 2.54
Ga 0.3810 0.6190 0.7500  3 Ga 2.44-2.54
Ga 0.4761 0.5239 0.7500  3 Ga 2.42-2.44
Ga 0.5239 0.4761 0.2500  3 Ga 2.42-2.44
Ga 0.6190 0.3810 0.2500  3 Ga 2.44-2.54
Ga 0.6750 0.3250 0.7500  2 Ga 2.54

Material: BiAuBr4
Method: DFT, GGA-PBE
State: optimized geometry

Output
The formation energy from raw total energies is -494 meV/atom. As for the space group: C2/c, No. 15.

Unit cell a=10.2783 b=10.2783 c=7.3609 alpha=102.57 beta=102.57 gamma=131.79
Closest atoms and distances in Å follow each position.
Atoms (fractional coordinates):
Bi 0.0573 0.9427 0.7500  6 Br 2.90-2.92
Bi 0.9427 0.0573 0.2500  6 Br 2.90-2.92
Au 0.3348 0.6652 0.2500  2 Br 2.43
Au 0.6652 0.3348 0.7500  2 Br 2.43
Br 0.0344 0.3954 0.2544  1 Au 2.43
Br 0.1863 0.2826 0.7153  2 Bi 2.90-2.91
Br 0.2826 0.1863 0.2153  2 Bi 2.90-2.91
Br 0.3954 0.0344 0.7544  1 Au 2.43
Br 0.6046 0.9656 0.2456  1 Au 2.43
Br 0.7174 0.8137 0.7847  2 Bi 2.90-2.91
Br 0.8137 0.7174 0.2847  2 Bi 2.90-2.91
Br 0.9656 0.6046 0.7456  1 Au 2.43

Material: TbAuS
Method: DFT, GGA-PBE
State: optimized geometry

Output
The formation energy from raw total energies is -1375 meV/atom. As for the space group: Cmcm, No. 63.

Unit cell a=6.4483 b=6.4483 c=5.3311 alpha=90.00 beta=90.00 gamma=143.83
Closest atoms and distances in Å follow each position.
Atoms (fractional coordinates):
Tb 0.1431 0.8569 0.7500  4 S 2.75-2.79, 2 Au 2.94
Tb 0.8569 0.1431 0.2500  4 S 2.75-2.79, 2 Au 2.94
Au 0.4672 0.5328 0.7500  2 Au 2.78, 2 S 2.86, 2 Tb 2.94
Au 0.5328 0.4672 0.2500  2 Au 2.78, 2 S 2.86, 2 Tb 2.94
S 0.1989 0.8011 0.2500  4 Tb 2.75-2.79, 2 Au 2.86
S 0.8011 0.1989 0.7500  4 Tb 2.75-2.79, 2 Au 2.86

| no. | final energy (eV per atom) | V (Å³/cell) | total magnetic moment (μB/atom) |
| --- | --- | --- | --- |
| 1 | -4.3130 | 225.3 | 0.02 |
| 2 | -2.8022 | 490.7 | 0.00 |
| 3 | -5.3868 | 130.8 | 0.00 |